Entry 1:
The following is a DFT calculation (PBE-GGA) of crystalline Ba8ZnSb3I4 at its relaxed geometry.

Cell: 10.2368 10.2368 10.2368 Å, 59.36 59.36 59.36°
Last column: nearest neighbours and their distance in Å.
Element x y z (fractional)
Ba1 0.2390 0.2390 0.2390  3 Sb 3.45, 3 I 3.77
Ba2 0.2391 0.7387 0.7387  1 Zn 3.44, 2 Sb 3.45, 3 I 3.77
Ba3 0.2613 0.2613 0.7609  1 Zn 3.44, 2 Sb 3.45, 3 I 3.77
Ba4 0.2613 0.7609 0.2613  1 Zn 3.44, 2 Sb 3.45, 3 I 3.77
Ba5 0.7387 0.2391 0.7387  1 Zn 3.44, 2 Sb 3.45, 3 I 3.77
Ba6 0.7387 0.7387 0.2391  1 Zn 3.44, 2 Sb 3.45, 3 I 3.77
Ba7 0.7609 0.2613 0.2613  1 Zn 3.44, 2 Sb 3.45, 3 I 3.77
Ba8 0.7610 0.7610 0.7610  3 Sb 3.45, 3 I 3.77
Zn1 0.5000 0.5000 0.5000  6 Ba 3.44
Sb1 0.0000 0.0000 0.5000  6 Ba 3.45
Sb2 0.0000 0.5000 0.0000  6 Ba 3.45
Sb3 0.5000 0.0000 0.0000  6 Ba 3.45
I1 0.0000 0.0000 0.0000  6 Ba 3.77
I2 0.0000 0.5000 0.5000  6 Ba 3.77
I3 0.5000 0.0000 0.5000  6 Ba 3.77
I4 0.5000 0.5000 0.0000  6 Ba 3.77

Summary:
The value obtained for the density of states at the Fermi level is 2.7 states/eV/cell. For the raw formation energy, the calculation gives -1206 meV/atom. As for the space group: R-3m (166). The value obtained for the total energy is -54.52 eV per cell.

***

Entry 2:
The following is a DFT calculation (PBE-GGA) of crystalline Tb6Pm2Dy3Ho at its relaxed geometry.

Cell: 6.1753 6.1753 11.8268 Å, 94.97 94.97 119.96°
Last column: nearest neighbours and their distance in Å.
Element x y z (fractional)
Tb1 0.0843 0.4169 0.7518  3 Dy 3.55, 6 Tb 3.56-3.57, 2 Pm 3.58-3.59, 1 Ho 3.58
Tb2 0.2483 0.2483 0.2479  3 Dy 3.54-3.55, 6 Tb 3.56-3.57, 1 Ho 3.58, 2 Pm 3.59
Tb3 0.4169 0.0843 0.7518  3 Dy 3.55, 6 Tb 3.56-3.57, 2 Pm 3.58-3.59, 1 Ho 3.58
Tb4 0.5831 0.9157 0.2482  3 Dy 3.55, 6 Tb 3.56-3.57, 2 Pm 3.58-3.59, 1 Ho 3.58
Tb5 0.7517 0.7517 0.7521  3 Dy 3.54-3.55, 6 Tb 3.56-3.57, 1 Ho 3.58, 2 Pm 3.59
Tb6 0.9157 0.5831 0.2482  3 Dy 3.55, 6 Tb 3.56-3.57, 2 Pm 3.58-3.59, 1 Ho 3.58
Pm1 0.3334 0.6666 0.5000  3 Pm 3.56-3.57, 3 Ho 3.56-3.57, 6 Tb 3.58-3.59
Pm2 0.6666 0.3334 0.5000  3 Pm 3.56-3.57, 3 Ho 3.56-3.57, 6 Tb 3.58-3.59
Dy1 0.1664 0.8336 0.0000  6 Tb 3.54-3.55, 6 Dy 3.56-3.57
Dy2 0.5000 0.5000 0.0000  6 Tb 3.55, 6 Dy 3.57
Dy3 0.8336 0.1664 0.0000  6 Tb 3.54-3.55, 6 Dy 3.56-3.57
Ho1 0.0000 0.0000 0.5000  6 Pm 3.56-3.57, 6 Tb 3.58

Summary:
The value obtained for the density of states at the Fermi level is 15.1 states/eV/cell. As for the space group: C2/m (12). The value obtained for the total energy is -55.50 eV per cell. As for the formation energy from the elements: 1.4 kJ per mole of atoms.

***

Entry 3:
The following is a DFT calculation (PBE-GGA) of crystalline La5CdGe2 at its relaxed geometry.

Cell: 9.4552 9.4552 9.4552 Å, 129.22 129.22 74.65°
Last column: nearest neighbours and their distance in Å.
Element x y z (fractional)
La1 0.0000 0.0000 0.0000  4 Ge 3.21
La2 0.0321 0.5321 0.8450  3 Ge 3.14-3.23, 2 Cd 3.42
La3 0.1871 0.0321 0.5000  3 Ge 3.14-3.23, 2 Cd 3.42
La4 0.3129 0.8129 0.8450  3 Ge 3.14-3.23, 2 Cd 3.42
La5 0.4679 0.3129 0.5000  3 Ge 3.14-3.23, 2 Cd 3.42
La6 0.5000 0.5000 0.0000  4 Ge 3.21
La7 0.5321 0.6871 0.5000  3 Ge 3.14-3.23, 2 Cd 3.42
La8 0.6871 0.1871 0.1550  3 Ge 3.14-3.23, 2 Cd 3.42
La9 0.8129 0.9679 0.5000  3 Ge 3.14-3.23, 2 Cd 3.42
La10 0.9679 0.4679 0.1550  3 Ge 3.14-3.23, 2 Cd 3.42
Cd1 0.2500 0.2500 0.0000  10 La 3.42-3.76
Cd2 0.7500 0.7500 0.0000  10 La 3.42-3.76
Ge1 0.1249 0.3751 0.5000  1 Ge 2.86, 4 La 3.14-3.21
Ge2 0.3751 0.8751 0.2502  1 Ge 2.86, 4 La 3.14-3.21
Ge3 0.6249 0.1249 0.7498  1 Ge 2.86, 4 La 3.14-3.21
Ge4 0.8751 0.6249 0.5000  1 Ge 2.86, 4 La 3.14-3.21

Summary:
The value obtained for the density of states at the Fermi level is 17.6 states/eV/cell. As for the space group: I4/mcm (140). The value obtained for the total energy is -78.20 eV per cell. As for the formation energy from the elements: -52.0 kJ per mole of atoms.

***

Entry 4:
The following is a DFT calculation (PBE-GGA) of crystalline Pr6GeIr3 at its relaxed geometry.

Cell: 11.7511 4.2970 12.1667 Å, 90.00 108.04 90.00°
Last column: nearest neighbours and their distance in Å.
Element x y z (fractional)
Pr1 0.0336 0.2500 0.3928  3 Ir 2.87
Pr2 0.1027 0.2500 0.9400  4 Ir 2.90-2.95
Pr3 0.2281 0.7500 0.2717  3 Ir 2.93-3.00
Pr4 0.2987 0.7500 0.7632  3 Ir 2.83-3.02
Pr5 0.3772 0.2500 0.5402  2 Ir 3.02, 3 Ge 3.12-3.21
Pr6 0.4228 0.7500 0.0975  3 Ir 2.82-2.96
Pr7 0.5772 0.2500 0.9025  3 Ir 2.82-2.96
Pr8 0.6228 0.7500 0.4598  2 Ir 3.02, 3 Ge 3.12-3.21
Pr9 0.7013 0.2500 0.2368  3 Ir 2.83-3.02
Pr10 0.7719 0.2500 0.7283  3 Ir 2.93-3.00
Pr11 0.8973 0.7500 0.0600  4 Ir 2.90-2.95
Pr12 0.9664 0.7500 0.6072  3 Ir 2.87
Ge1 0.4526 0.2500 0.3080  8 Pr 3.12-3.32
Ge2 0.5474 0.7500 0.6920  8 Pr 3.12-3.32
Ir1 0.0598 0.2500 0.1662  6 Pr 2.87-2.95
Ir2 0.1887 0.7500 0.5039  6 Pr 2.87-3.02
Ir3 0.3443 0.2500 0.9227  6 Pr 2.82-2.96
Ir4 0.6557 0.7500 0.0773  6 Pr 2.82-2.96
Ir5 0.8113 0.2500 0.4961  6 Pr 2.87-3.02
Ir6 0.9402 0.7500 0.8338  6 Pr 2.87-2.95

Summary:
The value obtained for the density of states at the Fermi level is 10.7 states/eV/cell. As for the space group: P2_1/m (11). The value obtained for the total energy is -131.20 eV per cell. As for the formation energy from the elements: -55.2 kJ per mole of atoms.

***

Entry 5:
The following is a DFT calculation (PBE-GGA) of crystalline Li2AlPb at its relaxed geometry.

Cell: 4.7513 4.7513 4.7513 Å, 60.00 60.00 60.00°
Last column: nearest neighbours and their distance in Å.
Element x y z (fractional)
Li1 0.2500 0.2500 0.2500  4 Pb 2.91, 4 Al 2.91
Li2 0.7500 0.7500 0.7500  4 Pb 2.91, 4 Al 2.91
Al1 0.0000 0.0000 0.0000  8 Li 2.91
Pb1 0.5000 0.5000 0.5000  8 Li 2.91

Summary:
The value obtained for the density of states at the Fermi level is 1.5 states/eV/cell. As for the space group: Fm-3m (225). The value obtained for the total energy is -11.83 eV per cell. As for the formation energy from the elements: -13.3 kJ per mole of atoms.

***

Entry 6:
The following is a DFT calculation (PBE-GGA) of crystalline PrVNi3 at its relaxed geometry.

Cell: 5.8954 5.8954 5.4429 Å, 90.00 90.00 120.00°
Last column: nearest neighbours and their distance in Å.
Element x y z (fractional)
Pr1 0.3333 0.6667 0.2500  12 Ni 2.96-3.07
Pr2 0.6667 0.3333 0.7500  12 Ni 2.96-3.07
V1 0.0000 0.0000 0.0000  6 Ni 2.40
V2 0.0000 0.0000 0.5000  6 Ni 2.40
Ni1 0.1941 0.3882 0.7500  2 V 2.40, 2 Ni 2.46
Ni2 0.1941 0.8059 0.7500  2 V 2.40, 2 Ni 2.46
Ni3 0.3882 0.1941 0.2500  2 V 2.40, 2 Ni 2.46
Ni4 0.6118 0.8059 0.7500  2 V 2.40, 2 Ni 2.46
Ni5 0.8059 0.1941 0.2500  2 V 2.40, 2 Ni 2.46
Ni6 0.8059 0.6118 0.2500  2 V 2.40, 2 Ni 2.46

Summary:
The value obtained for the density of states at the Fermi level is 11.0 states/eV/cell. As for the space group: P6_3/mmc (194). The value obtained for the total energy is -63.12 eV per cell. As for the formation energy from the elements: -6.2 kJ per mole of atoms.

***

Entry 7:
The following is a DFT calculation (PBE-GGA) of crystalline Ce2TmTl2Zn2 at its relaxed geometry.

Cell: 9.5259 9.5259 9.5259 Å, 27.89 27.89 27.89°
Last column: nearest neighbours and their distance in Å.
Element x y z (fractional)
Ce1 0.1433 0.1433 0.1433  3 Ce 2.94, 3 Zn 3.09
Ce2 0.8567 0.8567 0.8567  3 Ce 2.94, 3 Zn 3.09
Tm1 0.0000 0.0000 0.0000  6 Tl 3.14
Tl1 0.2721 0.2721 0.2721  3 Zn 2.73
Tl2 0.7279 0.7279 0.7279  3 Zn 2.73
Zn1 0.4191 0.4191 0.4191  3 Tl 2.73
Zn2 0.5809 0.5809 0.5809  3 Tl 2.73

Summary:
The value obtained for the density of states at the Fermi level is 11.4 states/eV/cell. As for the space group: R-3m (166). The value obtained for the total energy is -24.50 eV per cell. As for the formation energy from the elements: -12.2 kJ per mole of atoms.

***

Entry 8:
The following is a DFT calculation (PBE-GGA) of crystalline Nd5YTh2 at its relaxed geometry.

Cell: 9.0119 9.0119 9.0119 Å, 157.15 101.26 83.29°
Last column: nearest neighbours and their distance in Å.
Element x y z (fractional)
Nd1 0.0000 0.0000 0.0000  2 Th 3.47, 10 Nd 3.57-3.70
Nd2 0.1089 0.3699 0.7390  3 Th 3.35-3.69, 7 Nd 3.50-3.70
Nd3 0.3691 0.6301 0.7390  3 Th 3.35-3.69, 7 Nd 3.50-3.70
Nd4 0.6309 0.3699 0.2610  3 Th 3.35-3.69, 7 Nd 3.50-3.70
Nd5 0.8911 0.6301 0.2610  3 Th 3.35-3.69, 7 Nd 3.50-3.70
Y1 0.5000 0.0000 0.5000  2 Y 3.57, 4 Th 3.72, 8 Nd 3.89
Th1 0.2574 0.2574 0.0000  7 Nd 3.35-3.69, 2 Th 3.57, 2 Y 3.72
Th2 0.7426 0.7426 0.0000  7 Nd 3.35-3.69, 2 Th 3.57, 2 Y 3.72

Summary:
The value obtained for the density of states at the Fermi level is 12.5 states/eV/cell. As for the space group: Immm (71). The value obtained for the total energy is -44.33 eV per cell. As for the formation energy from the elements: 9.8 kJ per mole of atoms.

***

Entry 9:
The following is a DFT calculation (PBE-GGA) of crystalline Pr3PbSeBr at its relaxed geometry.

Cell: 8.3587 4.4407 10.7752 Å, 90.00 110.46 90.00°
Last column: nearest neighbours and their distance in Å.
Element x y z (fractional)
Pr1 0.1820 0.2500 0.1109  2 Se 2.96
Pr2 0.1849 0.2500 0.4901  2 Br 3.09, 2 Pb 3.35
Pr3 0.3174 0.7500 0.8326  3 Se 2.92-3.04, 1 Br 3.05
Pr4 0.6826 0.2500 0.1674  3 Se 2.92-3.04, 1 Br 3.05
Pr5 0.8151 0.7500 0.5099  2 Br 3.09, 2 Pb 3.35
Pr6 0.8180 0.7500 0.8891  2 Se 2.96
Pb1 0.0088 0.2500 0.7471  8 Pr 3.28-3.67
Pb2 0.9912 0.7500 0.2529  8 Pr 3.28-3.67
Se1 0.4200 0.7500 0.1206  5 Pr 2.92-3.04
Se2 0.5800 0.2500 0.8794  5 Pr 2.92-3.04
Br1 0.4536 0.7500 0.6045  3 Pr 3.05-3.09
Br2 0.5464 0.2500 0.3955  3 Pr 3.05-3.09

Summary:
The value obtained for the density of states at the Fermi level is 9.6 states/eV/cell. For the raw formation energy, the calculation gives -1181 meV/atom. As for the space group: P2_1/m (11). The value obtained for the total energy is -60.58 eV per cell.

***

Entry 10:
The following is a DFT calculation (PBE-GGA) of crystalline PaVH at its relaxed geometry.

Cell: 7.8765 7.8765 7.8765 Å, 124.82 74.95 133.52°
Last column: nearest neighbours and their distance in Å.
Element x y z (fractional)
Pa1 0.1505 0.0085 0.1590  2 H 2.16-2.25, 1 V 2.32
Pa2 0.1505 0.4915 0.6420  2 H 2.16-2.25, 1 V 2.32
Pa3 0.3921 0.7718 0.1203  3 H 2.19-2.37
Pa4 0.6515 0.2718 0.8797  3 H 2.19-2.37
Pa5 0.8495 0.5085 0.3580  2 H 2.16-2.25, 1 V 2.32
Pa6 0.8495 0.9915 0.8410  2 H 2.16-2.25, 1 V 2.32
V1 0.2180 0.2180 0.0000  2 Pa 2.32, 2 V 2.50
V2 0.2180 0.7180 0.5000  2 Pa 2.32, 2 V 2.50
V3 0.4362 0.1327 0.4844  1 H 1.88
V4 0.4362 0.4517 0.8034  1 H 1.88
V5 0.6483 0.6327 0.1966  1 H 1.88
V6 0.6483 0.9517 0.5156  1 H 1.88
H1 0.2400 0.2064 0.5336  2 V 1.88
H2 0.3715 0.9197 0.9518  4 Pa 2.25-2.37, 1 H 2.28
H3 0.6728 0.7064 0.4664  2 V 1.88
H4 0.7703 0.1183 0.1520  3 Pa 2.16-2.19, 1 H 2.28
H5 0.9662 0.6183 0.8480  3 Pa 2.16-2.19, 1 H 2.28
H6 0.9679 0.4197 0.0482  4 Pa 2.25-2.37, 1 H 2.28

Summary:
The value obtained for the density of states at the Fermi level is 21.1 states/eV/cell. For the polymorph energy (0 for the lowest one), the calculation gives 5.124 kcal/mol of atoms. As for the space group: Ima2 (46). The value obtained for the total energy is -125.97 eV per cell.

***

Entry 11:
The following is a DFT calculation (PBE-GGA) of crystalline Na2TeI6 at its relaxed geometry.

Cell: 7.5009 7.5009 13.9126 Å, 90.00 90.00 90.00°
Last column: nearest neighbours and their distance in Å.
Element x y z (fractional)
Na1 0.0000 0.0000 0.1662  6 I 3.19-3.28
Na2 0.0000 0.0000 0.8338  6 I 3.19-3.28
Na3 0.5000 0.5000 0.3338  6 I 3.19-3.28
Na4 0.5000 0.5000 0.6662  6 I 3.19-3.28
Te1 0.0000 0.0000 0.5000  6 I 2.98-2.99
Te2 0.5000 0.5000 0.0000  6 I 2.98-2.99
I1 0.1912 0.1912 0.3428  1 Te 2.98, 2 Na 3.19-3.28
I2 0.1912 0.1912 0.6572  1 Te 2.98, 2 Na 3.19-3.28
I3 0.2180 0.2180 0.0000  1 Te 2.99, 2 Na 3.27
I4 0.2820 0.7180 0.5000  1 Te 2.99, 2 Na 3.27
I5 0.3088 0.6912 0.1572  1 Te 2.98, 2 Na 3.19-3.28
I6 0.3088 0.6912 0.8428  1 Te 2.98, 2 Na 3.19-3.28
I7 0.6912 0.3088 0.1572  1 Te 2.98, 2 Na 3.19-3.28
I8 0.6912 0.3088 0.8428  1 Te 2.98, 2 Na 3.19-3.28
I9 0.7180 0.2820 0.5000  1 Te 2.99, 2 Na 3.27
I10 0.7820 0.7820 0.0000  1 Te 2.99, 2 Na 3.27
I11 0.8088 0.8088 0.3428  1 Te 2.98, 2 Na 3.19-3.28
I12 0.8088 0.8088 0.6572  1 Te 2.98, 2 Na 3.19-3.28

Summary:
For the polymorph energy (0 for the lowest one), the calculation gives 0.754 kcal/mol of atoms. For the raw formation energy, the calculation gives -572 meV/atom. As for the space group: P4_2/mnm (136). The value obtained for the total energy is -40.46 eV per cell.